DFT (PBE+U) results for a relaxed Ba2DyW3O12 crystal.

Structure (POSCAR):
```
Ba2DyW3O12
1.0
3.762 2.172 5.898
-3.762 2.172 5.898
0.000 -4.344 5.898
Ba Dy W O
2 1 3 12
Direct
0.140 0.140 0.140
0.860 0.860 0.860
0.500 0.500 0.500
0.000 0.500 0.500
0.500 0.000 0.500
0.500 0.500 0.000
0.122 0.603 0.603
0.205 0.205 0.579
0.205 0.579 0.205
0.397 0.397 0.878
0.397 0.878 0.397
0.421 0.795 0.795
0.579 0.205 0.205
0.603 0.122 0.603
0.603 0.603 0.122
0.795 0.421 0.795
0.795 0.795 0.421
0.878 0.397 0.397
```

Properties
N(E_F) ... 0.18 states/eV/atom
DFT total energy ... -133.490 eV for the cell shown